Record 1
The following is a PBE-GGA calculation of a geometry-optimized Zn13Pd2 structure, from the Alexandria database.

- theoretical density (g/cm3) = 7.86
- E_form (eV/atom) = -0.145
- magnetization (Bohr magnetons per cell) = 0.0

Unit cell a=5.3235 b=5.3243 c=8.7475 alpha=103.46 beta=103.55 gamma=102.36
Last column: nearest neighbours and their distance in Å.
Space group P-1 (No. 2)
Asymmetric unit:
Zn  0.0000  0.0000  0.0000 [1 per cell]  6 Zn 2.59-2.66
Zn  0.0654  0.5379  0.8711 [2 per cell]  9 Zn 2.59-2.82
Zn  0.1432  0.1431  0.6507 [2 per cell]  8 Zn 2.62-2.80, 2 Pd 2.65-2.92
Zn  0.2145  0.6429  0.6208 [2 per cell]  7 Zn 2.60-2.75, 3 Pd 2.70-2.78
Zn  0.3568  0.7856  0.3791 [2 per cell]  7 Zn 2.60-2.75, 3 Pd 2.70-2.78
Zn  0.4298  0.4305  0.1213 [2 per cell]  11 Zn 2.62-2.83, 1 Pd 2.73
Zn  0.4630  0.9355  0.1291 [2 per cell]  9 Zn 2.59-2.83
Pd  0.2589  0.2591  0.3604 [2 per cell]  11 Zn 2.65-2.92



Record 2
The following is a PBE-GGA calculation of a geometry-optimized Cu2Ir structure, from the Alexandria database.

- theoretical density (g/cm3) = 13.61
- E_form (eV/atom) = 0.134
- magnetization (Bohr magnetons per cell) = 0.0

Unit cell a=9.9620 b=2.6248 c=6.1769 alpha=90.00 beta=105.29 gamma=90.00
Last column: nearest neighbours and their distance in Å.
Space group C2/m (No. 12)
Asymmetric unit:
Cu  0.1415  0.0000  0.0261 [4 per cell]  8 Cu 2.57-2.75, 4 Ir 2.63-2.65
Cu  0.2012  0.0000  0.6458 [4 per cell]  7 Cu 2.57-2.62, 5 Ir 2.65-2.71
Ir  0.0268  0.5000  0.3055 [4 per cell]  3 Ir 2.60-2.62, 9 Cu 2.63-2.71